[1]
## PuCu9Ag2 (PBE)

Data for a relaxed structure of PuCu9Ag2.

Cell lengths 5.006, 5.006, 8.557 Å; angles 72.99, 72.99, 60.00 degrees
Positions (direct):
Pu 0.000 0.000 0.000
Cu 0.667 0.667 0.000
Cu 0.333 0.333 0.000
Cu 0.500 0.500 0.500
Cu 0.414 0.414 0.254
Cu 0.918 0.414 0.254
Cu 0.414 0.918 0.254
Cu 0.586 0.586 0.746
Cu 0.586 0.082 0.746
Cu 0.082 0.586 0.746
Ag 0.855 0.855 0.435
Ag 0.145 0.145 0.565

***

[2]
## Pu2CuAg (PBE)

Data for a relaxed structure of Pu2CuAg.

Cell lengths 3.017, 5.463, 5.463 Å; angles 90.00, 90.00, 90.00 degrees
Positions (direct):
Cu 0.500 0.500 0.500
Ag 0.500 0.000 0.000
Pu 0.000 0.000 0.500
Pu 0.000 0.500 0.000

***

[3]
## PuCu10Ag (PBE)

Data for a relaxed structure of PuCu10Ag.

Cell lengths 4.090, 4.965, 8.604 Å; angles 90.00, 90.00, 90.00 degrees
Positions (direct):
Pu 0.000 0.000 0.000
Cu 0.000 0.000 0.344
Cu 0.000 0.500 0.816
Cu 0.000 0.500 0.184
Cu 0.000 0.000 0.656
Cu 0.500 0.000 0.500
Cu 0.500 0.500 0.000
Cu 0.500 0.249 0.252
Cu 0.500 0.751 0.748
Cu 0.500 0.751 0.252
Cu 0.500 0.249 0.748
Ag 0.000 0.500 0.500

***

[4]
## PuCuAg2 (PBE)

Data for a relaxed structure of PuCuAg2.

Computed properties:
Energy above the lowest structure with this stoichiometry (meV per atom): 82

Cell lengths 2.918, 2.918, 10.045 Å; angles 81.65, 81.65, 60.00 degrees
Positions (direct):
Cu 0.000 0.000 0.000
Ag 0.261 0.261 0.217
Ag 0.739 0.739 0.783
Pu 0.500 0.500 0.500

***

[5]
## PuCu8Ag3 (PBE)

Data for a relaxed structure of PuCu8Ag3.

Computed properties:
Energy above the lowest structure with this stoichiometry (meV per atom): 0

Cell lengths 5.011, 5.011, 8.727 Å; angles 73.32, 73.32, 60.00 degrees
Positions (direct):
Pu 0.875 0.875 0.374
Cu 0.942 0.440 0.179
Cu 0.434 0.937 0.692
Cu 0.440 0.440 0.179
Cu 0.937 0.937 0.692
Cu 0.187 0.187 0.439
Cu 0.688 0.688 0.936
Cu 0.440 0.942 0.179
Cu 0.937 0.434 0.692
Ag 0.374 0.374 0.877
Ag 0.003 0.003 0.992
Ag 0.493 0.493 0.521

***

[6]
## Pu2CuAg (PBE)

Data for a relaxed structure of Pu2CuAg.

Cell lengths 2.925, 2.925, 11.259 Å; angles 82.54, 82.54, 60.00 degrees
Positions (direct):
Cu 0.500 0.500 0.500
Ag 0.000 0.000 0.000
Pu 0.092 0.092 0.723
Pu 0.908 0.908 0.277

***

[7]
## Pu3Cu7Ag2 (PBE)

Data for a relaxed structure of Pu3Cu7Ag2.

Cell lengths 5.285, 5.285, 9.095 Å; angles 73.11, 73.11, 60.00 degrees
Positions (direct):
Pu 0.000 0.000 0.000
Pu 0.855 0.855 0.435
Pu 0.145 0.145 0.565
Cu 0.500 0.500 0.500
Cu 0.912 0.415 0.258
Cu 0.415 0.912 0.258
Cu 0.415 0.415 0.258
Cu 0.088 0.585 0.742
Cu 0.585 0.585 0.742
Cu 0.585 0.088 0.742
Ag 0.668 0.668 0.997
Ag 0.332 0.332 0.003

***

[8]
## PuCu2Ag (PBE)

Data for a relaxed structure of PuCu2Ag.

Cell lengths 2.847, 2.847, 9.639 Å; angles 81.51, 81.51, 60.00 degrees
Positions (direct):
Cu 0.256 0.256 0.233
Cu 0.744 0.744 0.767
Ag 0.000 0.000 0.000
Pu 0.500 0.500 0.500

***

[9]
## PuCuAg2 (PBE)

Data for a relaxed structure of PuCuAg2.

Computed properties:
Energy above the lowest structure with this stoichiometry (meV per atom): 0

Cell lengths 3.129, 3.129, 7.781 Å; angles 90.00, 90.00, 90.00 degrees
Positions (direct):
Cu 0.500 0.500 0.000
Ag 0.000 0.000 0.802
Ag 0.000 0.000 0.198
Pu 0.500 0.500 0.500

***

[10]
## PuCuAg4 (PBE)

Data for a relaxed structure of PuCuAg4.

Cell lengths 5.550, 5.550, 5.550 Å; angles 60.00, 60.00, 60.00 degrees
Positions (direct):
Cu 0.000 0.000 0.000
Ag 0.626 0.626 0.123
Ag 0.626 0.123 0.626
Ag 0.626 0.626 0.626
Ag 0.123 0.626 0.626
Pu 0.250 0.250 0.250

***

[11]
## PuCu8Ag3 (PBE)

Data for a relaxed structure of PuCu8Ag3.

Computed properties:
Energy above the lowest structure with this stoichiometry (meV per atom): 7

Cell lengths 5.000, 5.000, 8.282 Å; angles 90.00, 90.00, 120.00 degrees
Positions (direct):
Pu 0.000 0.000 0.565
Cu 0.333 0.667 0.499
Cu 0.333 0.667 0.999
Cu 0.502 0.004 0.758
Cu 0.502 0.498 0.758
Cu 0.996 0.498 0.758
Cu 0.166 0.332 0.245
Cu 0.166 0.834 0.245
Cu 0.668 0.834 0.245
Ag 0.667 0.333 0.419
Ag 0.667 0.333 0.058
Ag 0.000 0.000 0.951

***

[12]
## Pu3Cu8Ag (PBE)

Data for a relaxed structure of Pu3Cu8Ag.

Cell lengths 5.184, 5.184, 8.890 Å; angles 73.05, 73.05, 60.00 degrees
Positions (direct):
Pu 0.374 0.374 0.878
Pu 0.001 0.001 0.998
Pu 0.501 0.501 0.498
Cu 0.937 0.435 0.194
Cu 0.443 0.937 0.682
Cu 0.435 0.435 0.194
Cu 0.937 0.937 0.682
Cu 0.188 0.188 0.435
Cu 0.687 0.687 0.939
Cu 0.435 0.937 0.194
Cu 0.937 0.443 0.682
Ag 0.875 0.875 0.376

***

[13]
## PuCu2Ag (PBE)

Data for a relaxed structure of PuCu2Ag.

Cell lengths 3.179, 3.179, 6.938 Å; angles 90.00, 90.00, 90.00 degrees
Positions (direct):
Cu 0.000 0.000 0.791
Cu 0.000 0.000 0.209
Ag 0.500 0.500 0.000
Pu 0.500 0.500 0.500

***

[14]
## Pu2Cu2Ag (PBE)

Data for a relaxed structure of Pu2Cu2Ag.

Cell lengths 3.056, 4.589, 7.453 Å; angles 107.93, 90.00, 90.00 degrees
Positions (direct):
Pu 0.500 0.618 0.237
Pu 0.500 0.382 0.763
Cu 0.000 0.203 0.407
Cu 0.000 0.797 0.593
Ag 0.000 0.000 0.000

***

[15]
## Pu2CuAg3S6 (PBE)

Data for a relaxed structure of Pu2CuAg3S6.

Computed properties:
E_form (uncorrected) (kcal/mol of atoms): -16.17

Cell lengths 6.800, 6.800, 6.457 Å; angles 95.43, 95.43, 121.23 degrees
Positions (direct):
Pu 0.336 0.664 0.000
Pu 0.664 0.336 0.000
Cu 0.000 0.000 0.000
Ag 0.235 0.765 0.500
Ag 0.765 0.235 0.500
Ag 0.500 0.500 0.500
S 0.961 0.640 0.775
S 0.719 0.719 0.221
S 0.039 0.360 0.225
S 0.640 0.961 0.775
S 0.281 0.281 0.779
S 0.360 0.039 0.225

***

[16]
## PuCuAg2S4 (PBE)

Data for a relaxed structure of PuCuAg2S4.

Computed properties:
E_form (uncorrected) (kcal/mol of atoms): -10.92

Cell lengths 5.886, 5.886, 5.886 Å; angles 107.87, 110.28, 110.28 degrees
Positions (direct):
Pu 0.500 0.250 0.750
Cu 0.000 0.500 0.500
Ag 0.500 0.750 0.250
Ag 0.000 0.000 0.000
S 0.526 0.334 0.261
S 0.927 0.192 0.666
S 0.073 0.739 0.265
S 0.474 0.735 0.808

***

[17]
## Pu2CuAg2S6 (PBE)

Data for a relaxed structure of Pu2CuAg2S6.

Computed properties:
E_form (uncorrected) (kcal/mol of atoms): -17.32

Cell lengths 6.832, 6.832, 6.496 Å; angles 100.33, 100.33, 122.11 degrees
Positions (direct):
Pu 0.335 0.665 0.500
Pu 0.665 0.335 0.500
Cu 0.000 0.000 0.500
Ag 0.825 0.175 0.000
Ag 0.175 0.825 0.000
S 0.785 0.785 0.717
S 0.080 0.419 0.737
S 0.215 0.215 0.283
S 0.419 0.080 0.737
S 0.920 0.581 0.263
S 0.581 0.920 0.263

***

[18]
## Pu3CuAg4Se8 (PBE)

Data for a relaxed structure of Pu3CuAg4Se8.

Computed properties:
E_form (uncorrected) (kcal/mol of atoms): -15.92

Cell lengths 8.246, 7.942, 8.437 Å; angles 122.93, 119.25, 90.00 degrees
Positions (direct):
Pu 0.500 0.500 0.000
Pu 0.500 0.500 0.500
Pu 0.000 0.500 0.500
Cu 0.000 0.500 0.000
Ag 0.500 0.000 0.000
Ag 0.500 0.000 0.500
Ag 0.000 0.000 0.000
Ag 0.000 0.000 0.500
Se 0.216 0.719 0.993
Se 0.276 0.779 0.552
Se 0.252 0.252 0.504
Se 0.777 0.719 0.993
Se 0.223 0.281 0.007
Se 0.748 0.748 0.496
Se 0.724 0.221 0.448
Se 0.784 0.281 0.007

***

[19]
## Pu2CuAg3Se6 (PBE)

Data for a relaxed structure of Pu2CuAg3Se6.

Computed properties:
E_form (uncorrected) (kcal/mol of atoms): -14.14

Cell lengths 7.090, 7.090, 6.647 Å; angles 99.17, 99.17, 120.23 degrees
Positions (direct):
Pu 0.336 0.664 0.000
Pu 0.664 0.336 0.000
Cu 0.000 0.000 0.000
Ag 0.193 0.807 0.500
Ag 0.807 0.193 0.500
Ag 0.500 0.500 0.500
Se 0.930 0.618 0.765
Se 0.753 0.753 0.245
Se 0.070 0.382 0.235
Se 0.618 0.930 0.765
Se 0.247 0.247 0.755
Se 0.382 0.070 0.235

***

[20]
## TbPuCuAg (PBE)

Data for a relaxed structure of TbPuCuAg.

Cell lengths 5.079, 5.079, 5.079 Å; angles 60.00, 60.00, 60.00 degrees
Positions (direct):
Tb 0.500 0.500 0.500
Cu 0.250 0.250 0.250
Ag 0.750 0.750 0.750
Pu 0.000 0.000 0.000

***

[21]
## PuThCuAg (PBE)

Data for a relaxed structure of PuThCuAg.

Cell lengths 5.135, 5.135, 5.135 Å; angles 60.00, 60.00, 60.00 degrees
Positions (direct):
Cu 0.250 0.250 0.250
Ag 0.750 0.750 0.750
Th 0.500 0.500 0.500
Pu 0.000 0.000 0.000

***

[22]
## PuTlCuAg (PBE)

Data for a relaxed structure of PuTlCuAg.

Cell lengths 4.960, 4.960, 4.960 Å; angles 60.00, 60.00, 60.00 degrees
Positions (direct):
Tl 0.000 0.000 0.000
Cu 0.750 0.750 0.750
Ag 0.250 0.250 0.250
Pu 0.500 0.500 0.500

***

[23]
## RbCuAg2 (PBE)

Data for a relaxed structure of RbCuAg2.

Computed properties:
Energy above the lowest structure with this stoichiometry (meV per atom): 362

Cell lengths 5.192, 5.192, 5.192 Å; angles 60.00, 60.00, 60.00 degrees
Positions (direct):
Cu 0.000 0.000 0.000
Rb 0.500 0.500 0.500
Ag 0.250 0.250 0.250
Ag 0.750 0.750 0.750

***

[24]
## Rb3CuAg (PBE)

Data for a relaxed structure of Rb3CuAg.

Computed properties:
Energy above the lowest structure with this stoichiometry (meV per atom): 0

Cell lengths 6.536, 6.536, 6.536 Å; angles 90.00, 90.00, 90.00 degrees
Positions (direct):
Cu 0.000 0.000 0.000
Rb 0.000 0.500 0.000
Rb 0.000 0.000 0.500
Rb 0.500 0.000 0.000
Ag 0.500 0.500 0.500

***

[25]
## Rb2CuAg2 (PBE)

Data for a relaxed structure of Rb2CuAg2.

Computed properties:
Energy above the lowest structure with this stoichiometry (meV per atom): 19

Cell lengths 7.279, 7.279, 5.657 Å; angles 90.00, 90.00, 90.00 degrees
Positions (direct):
Cu 0.000 0.000 0.000
Cu 0.500 0.500 0.000
Rb 0.178 0.678 0.500
Rb 0.678 0.822 0.500
Rb 0.822 0.322 0.500
Rb 0.322 0.178 0.500
Ag 0.357 0.857 0.000
Ag 0.857 0.643 0.000
Ag 0.643 0.143 0.000
Ag 0.143 0.357 0.000

***

no.,raw total energy (eV for the cell shown),magnetization (μB per atom),volume (Å³/atom)
1,-56.90,0.48,14.568
2,-35.04,3.00,22.515
3,-57.57,0.48,14.561
4,-23.37,1.20,18.261
5,-55.24,0.47,14.921
6,-34.11,2.53,20.622
7,-77.04,1.47,17.274
8,-24.48,1.13,16.672
9,-23.70,1.49,19.048
10,-28.92,1.06,20.146
11,-55.15,0.48,14.941
12,-78.61,1.44,16.233
13,-24.92,1.42,17.533
14,-39.41,2.37,19.890
15,-74.49,0.67,20.880
16,-44.43,0.53,19.609
17,-71.49,0.66,21.684
18,-97.42,0.86,23.567
19,-69.58,0.68,22.797
20,-25.95,1.42,23.162
21,-28.34,1.58,23.930
22,-23.12,1.36,21.569
23,-8.37,0.00,24.739
24,-8.09,0.00,55.851
25,-20.60,0.00,29.970